A plane-wave DFT calculation with PBE-GGA was carried out for a geometry-optimized V3Rh structure.

For the formation energy, the calculation gives -0.072 eV per atom. The density is 7.70 g/cm3.

Cell: 3.8067 3.8067 3.8067 Å, 90.00 90.00 90.00°
Sites, in units of the cell vectors:
Rh1 0.0000 0.0000 0.0000
V1 0.0000 0.5000 0.5000
V2 0.5000 0.0000 0.5000
V3 0.5000 0.5000 0.0000

***

A plane-wave DFT calculation with PBE-GGA was carried out for a geometry-optimized V2Rh3 structure.

For the formation energy, the calculation gives -0.171 eV per atom. The density is 9.23 g/cm3. The value obtained for the distance to the lowest polymorph of the same formula is 0.180 eV/atom.

Cell: 4.0063 8.3414 8.8391 Å, 90.00 90.00 90.00°
Sites, in units of the cell vectors:
V1 0.2500 0.1432 0.4627
V2 0.2500 0.3568 0.9627
V3 0.7500 0.8568 0.5373
V4 0.7500 0.6432 0.0373
V5 0.7500 0.5342 0.7020
V6 0.7500 0.9658 0.2020
V7 0.2500 0.4658 0.2980
V8 0.2500 0.0342 0.7980
Rh1 0.2500 0.6359 0.5376
Rh2 0.2500 0.8641 0.0376
Rh3 0.7500 0.3641 0.4624
Rh4 0.7500 0.1359 0.9624
Rh5 0.7500 0.1243 0.6482
Rh6 0.7500 0.3757 0.1482
Rh7 0.2500 0.8757 0.3518
Rh8 0.2500 0.6243 0.8518
Rh9 0.2500 0.3446 0.6887
Rh10 0.2500 0.1554 0.1887
Rh11 0.7500 0.6554 0.3113
Rh12 0.7500 0.8446 0.8113

***

A plane-wave DFT calculation with PBE-GGA was carried out for a geometry-optimized V4Rh structure.

For the formation energy, the calculation gives 0.264 eV per atom. The density is 6.85 g/cm3. The value obtained for the distance to the lowest polymorph of the same formula is 0.483 eV/atom.

Cell: 4.2443 6.3855 5.6616 Å, 104.16 90.00 90.00°
Sites, in units of the cell vectors:
V1 0.2775 0.3265 0.2110
V2 0.7775 0.6735 0.2890
V3 0.7225 0.6735 0.7890
V4 0.2225 0.3265 0.7110
V5 0.7713 0.3218 0.4442
V6 0.2713 0.6782 0.0558
V7 0.2287 0.6782 0.5558
V8 0.7287 0.3218 0.9442
Rh1 0.0000 0.0000 0.0000
Rh2 0.5000 0.0000 0.5000

***

A plane-wave DFT calculation with PBE-GGA was carried out for a geometry-optimized V4Rh structure.

For the formation energy, the calculation gives -0.219 eV per atom. The density is 7.55 g/cm3. The value obtained for the distance to the lowest polymorph of the same formula is 0.000 eV/atom.

Cell: 2.6789 4.1979 6.6285 Å, 108.45 106.61 89.97°
Sites, in units of the cell vectors:
V1 0.2162 0.3994 0.7986
V2 0.7838 0.6006 0.2014
V3 0.3954 0.7951 0.5901
V4 0.6046 0.2049 0.4099
Rh1 0.0000 0.0000 0.0000

***

A plane-wave DFT calculation with PBE-GGA was carried out for a geometry-optimized V3Rh structure.

For the formation energy, the calculation gives -0.245 eV per atom. The density is 7.85 g/cm3.

Cell: 3.0191 4.2322 4.2333 Å, 90.00 90.00 90.00°
Sites, in units of the cell vectors:
Rh1 0.0000 0.5000 0.4167
V1 0.0000 0.0000 0.9167
V2 0.5000 0.0000 0.4167
V3 0.5000 0.5000 0.9167

***

A plane-wave DFT calculation with PBE-GGA was carried out for a geometry-optimized V3Rh structure.

For the formation energy, the calculation gives -0.321 eV per atom. The density is 7.78 g/cm3.

Cell: 4.7791 4.7791 4.7791 Å, 90.00 90.00 90.00°
Sites, in units of the cell vectors:
V1 0.5000 0.2500 0.0000
V2 0.5000 0.7500 0.0000
V3 0.2500 0.0000 0.5000
V4 0.7500 0.0000 0.5000
V5 0.0000 0.5000 0.2500
V6 0.0000 0.5000 0.7500
Rh1 0.5000 0.5000 0.5000
Rh2 0.0000 0.0000 0.0000